First-principles (GGA-PBE) data for a relaxed structure of KSr2Cd2Pb2, as listed in the Alexandria database.

It has space group R-3m (No. 166, hexagonal axes), with a = 5.3151 Å, b = 5.3151 Å, c = 31.6600 Å, α = 90.00°, β = 90.00° and γ = 120.00°. Symmetry generates all atoms from K at (0.0000, 0.0000, 0.0000), Sr at (0.0000, 0.0000, 0.1325), Cd at (0.0000, 0.0000, 0.4271) and Pb at (0.0000, 0.0000, 0.2533).

For the energy, the calculation gives -2.230 eV/atom. As for the formation energy: -0.27 eV/atom.